1.
The following is a DFT calculation (meta-GGA SCAN) of a crystal of Zr10HN8 relaxed with PBEsol.

As for the density of states at the Fermi level: 7.20 states/eV/cell. The total energy comes out at -417.86 eV per formula unit.

The space group is P-1 (No. 2) and the conventional cell measures 5.5683, 5.5701 and 8.5182 Å, with angles of 71.38, 71.36 and 80.18 degrees. The asymmetric unit holds Zr at (0.0478, 0.2579, 0.1538), Zr at (0.1367, 0.7556, 0.4474), Zr at (0.2513, 0.2517, 0.7498), Zr at (0.3590, 0.7446, 0.0528), Zr at (0.4507, 0.2384, 0.3453), H at (0.0000, 0.0000, 0.0000), N at (0.1007, 0.4981, 0.3008), N at (0.2011, 0.9992, 0.5986), N at (0.3018, 0.5012, 0.9000) and N at (0.3982, 0.9998, 0.2004).

2.
The following is a DFT calculation (meta-GGA SCAN) of a crystal of PrHoTl2 relaxed with PBEsol.

As for the density of states at the Fermi level: 12.70 states/eV/cell. The formation energy is -0.551 eV/atom.

The space group is Fm-3m (No. 225) and the conventional cell measures 7.5712, 7.5712 and 7.5712 Å, with angles of 90.00, 90.00 and 90.00 degrees. The asymmetric unit holds Pr at (0.0000, 0.0000, 0.0000), Ho at (0.0000, 0.0000, 0.5000) and Tl at (0.2500, 0.2500, 0.2500).

3.
The following is a DFT calculation (meta-GGA SCAN) of a crystal of CaGaGe relaxed with PBEsol.

As for the density of states at the Fermi level: 2.18 states/eV/cell. The formation energy is -0.590 eV/atom.

The space group is P6_3/mmc (No. 194) and the conventional cell measures 4.1921, 4.1921 and 16.9090 Å, with angles of 90.00, 90.00 and 120.00 degrees. The asymmetric unit holds Ca at (0.0000, 0.0000, 0.0000), Ca at (0.0000, 0.0000, 0.2500), Ga at (0.3333, 0.6667, 0.1531) and Ge at (0.3333, 0.6667, 0.6118).

4.
The following is a DFT calculation (meta-GGA SCAN) of a crystal of NiSeO4 relaxed with PBEsol.

The calculation puts the formation energy without anion corrections at -5.7 eV/f.u. As for the density of states at the Fermi level: 0.00 states/eV/cell.

The space group is Cmcm (No. 63) and the conventional cell measures 5.4071, 8.1415 and 6.1952 Å, with angles of 90.00, 90.00 and 90.00 degrees. The asymmetric unit holds Ni at (0.0000, 0.0000, 0.0000), Se at (0.0000, 0.3497, 0.2500), O at (0.0000, 0.2423, 0.0236) and O at (0.2485, 0.0208, 0.7500).